Record 1
This record from Alexandria describes a relaxed structure of AcSm2Cd2Hg2. The functional is PBE-GGA.

abc: 9.8657 9.8657 9.8657
angles: 29.51 29.51 29.51
Last column: nearest neighbours and their distance in Å.
Element x y z (fractional)
Ac 0.0000 0.0000 0.0000  2 Sm 3.60, 6 Hg 3.61, 6 Cd 3.69
Sm 0.1274 0.1274 0.1274  4 Cd 3.19-3.54, 3 Hg 3.25
Sm 0.8726 0.8726 0.8726  4 Cd 3.19-3.54, 3 Hg 3.25
Cd 0.2525 0.2525 0.2525  3 Hg 2.90, 3 Sm 3.19
Cd 0.7475 0.7475 0.7475  3 Hg 2.90, 3 Sm 3.19
Hg 0.4092 0.4092 0.4092  3 Cd 2.90, 3 Sm 3.25
Hg 0.5908 0.5908 0.5908  3 Cd 2.90, 3 Sm 3.25

**Calculated density**: 9.29 Mg/m³
**E_form**: -28.1 kJ per mole of atoms
**Total magnetization**: 0.00 Bohr magnetons per cell
**Energy**: -18.02 eV for the cell shown
**D(E_F)**: 0.70 states/eV/atom

Record 2
This record from Alexandria describes a relaxed structure of Ac2SmCd3Hg12. The functional is PBE-GGA.

abc: 13.1119 13.1119 13.1119
angles: 31.16 31.16 31.16
Last column: nearest neighbours and their distance in Å.
Element x y z (fractional)
Ac 0.1352 0.1352 0.1352  12 Hg 3.54-3.68
Ac 0.8648 0.8648 0.8648  12 Hg 3.54-3.68
Sm 0.5000 0.5000 0.5000  6 Hg 3.00
Cd 0.0000 0.5000 0.5000  4 Hg 2.95
Cd 0.5000 0.0000 0.5000  4 Hg 2.95
Cd 0.5000 0.5000 0.0000  4 Hg 2.95
Hg 0.0820 0.6284 0.6284  1 Sm 3.00, 4 Hg 3.05-3.19
Hg 0.0931 0.0931 0.6528  2 Cd 2.95, 4 Hg 3.05-3.10
Hg 0.0931 0.6528 0.0931  2 Cd 2.95, 4 Hg 3.05-3.10
Hg 0.3472 0.9069 0.9069  2 Cd 2.95, 4 Hg 3.05-3.10
Hg 0.3716 0.3716 0.9180  1 Sm 3.00, 4 Hg 3.05-3.19
Hg 0.3716 0.9180 0.3716  1 Sm 3.00, 4 Hg 3.05-3.19
Hg 0.6284 0.0820 0.6284  1 Sm 3.00, 4 Hg 3.05-3.19
Hg 0.6284 0.6284 0.0820  1 Sm 3.00, 4 Hg 3.05-3.19
Hg 0.6528 0.0931 0.0931  2 Cd 2.95, 4 Hg 3.05-3.10
Hg 0.9069 0.3472 0.9069  2 Cd 2.95, 4 Hg 3.05-3.10
Hg 0.9069 0.9069 0.3472  2 Cd 2.95, 4 Hg 3.05-3.10
Hg 0.9180 0.3716 0.3716  1 Sm 3.00, 4 Hg 3.05-3.19

**Calculated density**: 10.39 Mg/m³
**E_form**: -13.6 kJ per mole of atoms
**Total magnetization**: 0.00 Bohr magnetons per cell
**Energy**: -21.84 eV for the cell shown
**D(E_F)**: 0.76 states/eV/atom

Record 3
This record from Alexandria describes a relaxed structure of AcCdSnHg. The functional is PBE-GGA.

abc: 4.8750 4.8750 6.2586
angles: 90.00 90.00 120.00
Last column: nearest neighbours and their distance in Å.
Element x y z (fractional)
Ac 0.0000 0.0000 0.0000  3 Hg 3.26, 3 Sn 3.33
Cd 0.6667 0.3333 0.4985  3 Sn 3.12, 3 Hg 3.19
Sn 0.3333 0.6667 0.2849  1 Hg 2.83, 3 Cd 3.12
Hg 0.3333 0.6667 0.7377  1 Sn 2.83

**Calculated density**: 8.49 Mg/m³
**E_form**: -25.4 kJ per mole of atoms
**Distance to the lowest polymorph of the same formula**: 0.096 eV per atom
**Total magnetization**: 0.00 Bohr magnetons per cell
**Energy**: -10.38 eV for the cell shown
**D(E_F)**: 0.16 states/eV/atom

Record 4
This record from Alexandria describes a relaxed structure of Ac2Cd4SnHg3. The functional is PBE-GGA.

abc: 4.7958 4.7958 12.0167
angles: 90.00 90.00 90.00
Last column: nearest neighbours and their distance in Å.
Element x y z (fractional)
Ac 0.0000 0.5000 0.2492  6 Hg 3.66-3.85, 8 Cd 3.66-3.84, 2 Sn 3.85
Ac 0.5000 0.0000 0.7508  6 Hg 3.66-3.85, 8 Cd 3.66-3.84, 2 Sn 3.85
Cd 0.0000 0.0000 0.0000  4 Hg 2.90
Cd 0.0000 0.5000 0.6363  3 Hg 2.74-2.90, 2 Sn 2.90
Cd 0.5000 0.0000 0.3637  3 Hg 2.74-2.90, 2 Sn 2.90
Cd 0.5000 0.5000 0.0000  4 Hg 2.90
Sn 0.0000 0.0000 0.5000  4 Cd 2.90
Hg 0.0000 0.5000 0.8646  5 Cd 2.74-2.90
Hg 0.5000 0.0000 0.1354  5 Cd 2.74-2.90
Hg 0.5000 0.5000 0.5000  4 Cd 2.90

**Calculated density**: 9.76 Mg/m³
**E_form**: -29.4 kJ per mole of atoms
**Total magnetization**: 0.00 Bohr magnetons per cell
**Energy**: -19.83 eV for the cell shown
**D(E_F)**: 0.61 states/eV/atom